<i>
# MgW

MgW after structural relaxation (PBE, the Open Quantum Materials Database).

Lattice parameters (Å, degrees): 8.3058 5.7234 4.5212 90.00 90.00 88.24
With the nearest neighbours (Å) after each atom.
Fractional positions:
Mg1 0.3763 0.7928 0.0000  8 W 2.83-3.16, 3 Mg 2.92-3.12
Mg2 0.2118 0.1209 0.5000  5 Mg 2.85-3.12, 3 W 2.91-2.97
Mg3 0.0104 0.9347 0.0000  5 Mg 2.85-3.12, 3 W 2.91-2.97
Mg4 0.0304 0.4363 0.0000  2 W 2.84-3.08, 6 Mg 2.84-2.92
Mg5 0.8459 0.2627 0.5000  8 W 2.83-3.16, 3 Mg 2.92-3.12
Mg6 0.1918 0.6192 0.5000  2 W 2.84-3.08, 6 Mg 2.84-2.92
W1 0.7023 0.5936 0.0000  6 W 2.68-2.94, 2 Mg 2.84-2.91
W2 0.5533 0.9496 0.5000  4 W 2.52-2.81
W3 0.3914 0.2978 0.0000  3 W 2.52-2.68
W4 0.8308 0.7578 0.5000  3 W 2.52-2.68
W5 0.6689 0.1060 0.0000  4 W 2.52-2.81
W6 0.5199 0.4620 0.5000  6 W 2.68-2.94, 2 Mg 2.84-2.91

Output
Symmetry: No. 11

<ii>
# MgW

MgW after structural relaxation (PBE, the Open Quantum Materials Database).

Lattice parameters (Å, degrees): 5.1286 7.5701 4.7251 90.00 90.00 70.19
With the nearest neighbours (Å) after each atom.
Fractional positions:
Mg1 0.9815 0.0000 0.0000  7 W 2.84-3.05, 5 Mg 2.84-2.95
Mg2 0.1814 0.6001 0.0000  7 W 2.84-3.05, 5 Mg 2.84-2.95
Mg3 0.2844 0.8000 0.5000  4 W 2.80-2.98, 8 Mg 2.86-2.97
Mg4 0.6754 0.9951 0.5000  6 W 2.76-2.96, 5 Mg 2.78-2.97
Mg5 0.8705 0.6049 0.5000  6 W 2.76-2.96, 5 Mg 2.78-2.97
W1 0.5133 0.3824 0.5000  6 W 2.75-2.93, 5 Mg 2.76-3.05
W2 0.0957 0.2175 0.5000  6 W 2.75-2.93, 5 Mg 2.76-3.05
W3 0.5757 0.8000 0.0000  10 Mg 2.80-2.96, 2 W 2.86
W4 0.3766 0.2020 0.0000  7 W 2.75-2.93, 5 Mg 2.84-2.96
W5 0.7786 0.3980 0.0000  7 W 2.75-2.93, 5 Mg 2.84-2.96

Output
Symmetry: No. 38

<iii>
# MgW

MgW after structural relaxation (PBE, the Open Quantum Materials Database).

Lattice parameters (Å, degrees): 16.0160 5.6107 4.6504 90.00 90.00 90.03
With the nearest neighbours (Å) after each atom.
Fractional positions:
W1 0.0127 0.9327 0.0000  4 W 2.64-2.74, 3 Mg 2.84-2.91
W2 0.9417 0.2870 0.5000  3 W 2.64-2.71, 4 Mg 2.82-2.85
W3 0.7663 0.9440 0.5000  3 W 2.72-2.74, 8 Mg 2.81-3.03
W4 0.5027 0.2872 0.0000  3 W 2.64-2.71, 4 Mg 2.82-2.85
W5 0.6781 0.9446 0.0000  3 W 2.72-2.74, 8 Mg 2.81-3.03
W6 0.4317 0.9326 0.5000  4 W 2.64-2.74, 3 Mg 2.84-2.91
W7 0.2663 0.8054 0.5000  3 W 2.72-2.74, 8 Mg 2.81-3.03
W8 0.5128 0.8174 0.0000  4 W 2.64-2.74, 3 Mg 2.84-2.91
W9 0.4417 0.4628 0.5000  3 W 2.64-2.71, 4 Mg 2.82-2.85
W10 0.1781 0.8060 0.0000  3 W 2.72-2.74, 8 Mg 2.81-3.03
W11 0.0027 0.4630 0.0000  3 W 2.64-2.71, 4 Mg 2.82-2.85
W12 0.9317 0.8173 0.5000  4 W 2.64-2.74, 3 Mg 2.84-2.91
Mg1 0.6696 0.4451 0.0000  3 W 2.81-2.82, 7 Mg 2.87-3.07
Mg2 0.5955 0.1572 0.5000  2 Mg 2.70-2.92, 7 W 2.85-3.00
Mg3 0.7749 0.4444 0.5000  3 W 2.81-2.82, 7 Mg 2.87-3.07
Mg4 0.8490 0.1571 0.0000  2 Mg 2.70-2.92, 7 W 2.85-3.00
Mg5 0.1696 0.3056 0.0000  3 W 2.81-2.82, 7 Mg 2.87-3.07
Mg6 0.3489 0.5928 0.0000  2 Mg 2.70-2.92, 7 W 2.85-3.00
Mg7 0.1022 0.0733 0.5000  4 Mg 2.70-2.92, 3 W 2.84
Mg8 0.0955 0.5929 0.5000  2 Mg 2.70-2.92, 7 W 2.85-3.00
Mg9 0.3423 0.0733 0.0000  4 Mg 2.70-2.92, 3 W 2.84
Mg10 0.6022 0.6767 0.5000  4 Mg 2.70-2.92, 3 W 2.84
Mg11 0.8423 0.6767 0.0000  4 Mg 2.70-2.92, 3 W 2.84
Mg12 0.2749 0.3049 0.5000  3 W 2.81-2.82, 7 Mg 2.87-3.07

Output
Symmetry: No. 57

<iv>
# MgW

MgW after structural relaxation (PBE, the Open Quantum Materials Database).

Lattice parameters (Å, degrees): 4.8492 9.5250 4.6122 90.00 90.00 90.00
With the nearest neighbours (Å) after each atom.
Fractional positions:
Mg1 0.8438 0.8220 0.5000  5 W 2.90-3.07, 6 Mg 2.93-3.02
Mg2 0.4988 0.4963 0.0000  9 W 2.81-3.00, 3 Mg 2.86-3.14
Mg3 0.4710 0.8258 0.0000  4 W 2.84-3.04, 7 Mg 2.93-3.14
Mg4 0.9987 0.3370 0.0000  9 W 2.81-3.00, 3 Mg 2.86-3.14
Mg5 0.9710 0.0076 0.0000  4 W 2.84-3.04, 7 Mg 2.93-3.14
Mg6 0.3438 0.0114 0.5000  5 W 2.90-3.07, 6 Mg 2.93-3.02
W1 0.8681 0.5066 0.5000  3 W 2.54-2.76
W2 0.3227 0.6393 0.5000  3 W 2.54-2.80, 2 Mg 2.81
W3 0.9958 0.6518 0.0000  4 W 2.76-2.80, 7 Mg 2.83-3.04
W4 0.8226 0.1941 0.5000  3 W 2.54-2.80, 2 Mg 2.81
W5 0.3680 0.3267 0.5000  3 W 2.54-2.76
W6 0.4957 0.1815 0.0000  4 W 2.76-2.80, 7 Mg 2.83-3.04

Output
Symmetry: No. 26

Relative energies in meV per atom: <i> 0; <ii> 172; <iii> 71; <iv> 142

<i>
# YMgZn

YMgZn after structural relaxation (PBE, the Open Quantum Materials Database).

Lattice parameters (Å, degrees): 3.5927 3.5927 13.0341 90.00 90.00 120.00
With the nearest neighbours (Å) after each atom.
Fractional positions:
Mg1 0.0000 0.0000 0.1946  3 Zn 2.77
Mg2 0.0000 0.0000 0.8054  3 Zn 2.77
Y1 0.3333 0.6667 0.0000  6 Mg 3.28, 6 Y 3.59
Y2 0.0000 0.0000 0.5000  6 Zn 2.98
Zn1 0.3333 0.6667 0.6644  3 Mg 2.77, 3 Y 2.98
Zn2 0.3333 0.6667 0.3356  3 Mg 2.77, 3 Y 2.98

Output
Symmetry: No. 187

<ii>
# YMgZn

YMgZn after structural relaxation (PBE, the Open Quantum Materials Database).

Lattice parameters (Å, degrees): 3.5026 3.5264 13.5750 89.96 89.98 60.67
With the nearest neighbours (Å) after each atom.
Fractional positions:
Mg1 0.3334 0.3134 0.6836  3 Mg 3.08-3.21, 3 Y 3.34-3.40
Mg2 0.6667 0.6840 0.5072  3 Zn 2.76-2.80, 1 Mg 3.08
Zn1 0.3333 0.3359 0.3678  3 Zn 2.56-2.57, 3 Mg 2.76-2.80
Zn2 0.0000 0.0000 0.2533  3 Zn 2.56-2.57
Y1 0.3333 0.3339 0.0882  3 Zn 3.02-3.04
Y2 0.6667 0.6661 0.8815  3 Mg 3.34-3.40, 9 Y 3.46-3.55

Output
Symmetry: No. 1

Relative energies in meV per atom: <i> 0; <ii> 31

<i>
# MgZn6

MgZn6 after structural relaxation (PBE, the Open Quantum Materials Database).

Lattice parameters (Å, degrees): 5.5034 5.5034 5.5034 60.00 60.00 60.00
With the nearest neighbours (Å) after each atom.
Fractional positions:
Zn1 0.5000 0.5000 0.0000  8 Zn 2.75, 2 Mg 2.75
Zn2 0.5000 0.0000 0.0000  2 Mg 2.75, 8 Zn 2.75
Zn3 0.0000 0.0000 0.5000  2 Mg 2.75, 8 Zn 2.75
Zn4 0.0000 0.5000 0.0000  2 Mg 2.75, 8 Zn 2.75
Zn5 0.0000 0.5000 0.5000  8 Zn 2.75, 2 Mg 2.75
Zn6 0.5000 0.0000 0.5000  8 Zn 2.75, 2 Mg 2.75
Mg1 0.0000 0.0000 0.0000  12 Zn 2.75

Output
Symmetry: No. 225

<ii>
# MgZn6

MgZn6 after structural relaxation (PBE, the Open Quantum Materials Database).

Lattice parameters (Å, degrees): 5.7643 5.7643 5.7643 54.55 54.55 54.55
With the nearest neighbours (Å) after each atom.
Fractional positions:
Zn1 0.4064 0.4048 0.9133  7 Zn 2.60-2.70
Zn2 0.5952 0.0867 0.5936  7 Zn 2.60-2.70
Zn3 0.0867 0.5936 0.5952  7 Zn 2.60-2.70
Zn4 0.9133 0.4064 0.4048  7 Zn 2.60-2.70
Zn5 0.5936 0.5952 0.0867  7 Zn 2.60-2.70
Zn6 0.4048 0.9133 0.4064  7 Zn 2.60-2.70
Mg1 0.0000 0.0000 0.0000  12 Zn 2.96-2.97

Output
Symmetry: No. 166

Relative energies in meV per atom: <i> 25; <ii> 0

<i>
# Mg3Zn4

Mg3Zn4 after structural relaxation (PBE, the Open Quantum Materials Database).

Lattice parameters (Å, degrees): 7.6539 7.6543 4.8298 90.00 90.00 60.00
With the nearest neighbours (Å) after each atom.
Fractional positions:
Zn1 0.0959 0.5185 0.5000  5 Mg 2.79-2.92, 7 Zn 2.83-2.96
Zn2 0.9571 0.2387 0.5000  5 Mg 2.79-2.92, 7 Zn 2.83-2.96
Zn3 0.1428 0.2857 0.0000  3 Mg 2.79, 9 Zn 2.91-2.92
Zn4 0.8095 0.9524 0.5000  3 Mg 2.79, 9 Zn 2.91-2.93
Zn5 0.5767 0.1382 0.0000  5 Mg 2.79-2.92, 7 Zn 2.83-2.96
Zn6 0.9953 0.9994 0.0000  5 Mg 2.79-2.92, 7 Zn 2.83-2.96
Zn7 0.3757 0.0999 0.5000  5 Mg 2.80-2.92, 7 Zn 2.83-2.96
Zn8 0.8565 0.7196 0.0000  5 Mg 2.79-2.92, 7 Zn 2.83-2.96
Mg1 0.7312 0.4161 0.0000  6 Zn 2.79-2.92, 6 Mg 3.00-3.09
Mg2 0.6791 0.6711 0.5000  6 Zn 2.79-2.92, 6 Mg 3.00-3.09
Mg3 0.5283 0.3640 0.5000  6 Zn 2.79-2.92, 6 Mg 3.00-3.09
Mg4 0.4241 0.8741 0.0000  6 Zn 2.79-2.92, 6 Mg 3.00-3.09
Mg5 0.2211 0.8220 0.5000  6 Zn 2.79-2.92, 6 Mg 3.00-3.09
Mg6 0.2732 0.5670 0.0000  6 Zn 2.79-2.92, 6 Mg 3.00-3.09

Output
Symmetry: No. 176

<ii>
# Mg3Zn4

Mg3Zn4 after structural relaxation (PBE, the Open Quantum Materials Database).

Lattice parameters (Å, degrees): 7.7366 7.7365 4.6453 90.00 90.00 60.00
With the nearest neighbours (Å) after each atom.
Fractional positions:
Zn1 0.5811 0.1403 0.0000  5 Mg 2.80-3.11, 7 Zn 2.82-2.96
Zn2 0.4286 0.8571 0.0000  9 Mg 2.90-2.95, 3 Zn 2.96
Zn3 0.9427 0.2407 0.5000  5 Mg 2.80-3.11, 7 Zn 2.82-2.96
Zn4 0.9929 0.0097 0.0000  5 Mg 2.80-3.11, 7 Zn 2.82-2.96
Zn5 0.5309 0.3713 0.5000  5 Mg 2.80-3.11, 7 Zn 2.82-2.96
Zn6 0.0952 0.5238 0.5000  9 Mg 2.90-2.95, 3 Zn 2.96
Zn7 0.8121 0.9595 0.5000  5 Mg 2.80-3.11, 7 Zn 2.82-2.96
Zn8 0.7117 0.4215 0.0000  5 Mg 2.80-3.11, 7 Zn 2.82-2.96
Mg1 0.8567 0.7310 0.0000  8 Zn 2.80-3.11, 4 Mg 2.98-3.01
Mg2 0.3972 0.0957 0.5000  8 Zn 2.80-3.11, 4 Mg 2.98-3.01
Mg3 0.3024 0.5551 0.0000  8 Zn 2.80-3.11, 4 Mg 2.98-3.01
Mg4 0.6671 0.6499 0.5000  8 Zn 2.80-3.11, 4 Mg 2.98-3.01
Mg5 0.2213 0.8258 0.5000  8 Zn 2.80-3.11, 4 Mg 2.98-3.01
Mg6 0.1266 0.2852 0.0000  8 Zn 2.80-3.11, 4 Mg 2.98-3.01

Output
Symmetry: No. 176

Relative energies in meV per atom: <i> 43; <ii> 0

<i>
# Mg3Zr4

Mg3Zr4 after structural relaxation (PBE, the Open Quantum Materials Database).

Lattice parameters (Å, degrees): 8.4306 8.4306 5.0751 90.00 90.00 60.00
With the nearest neighbours (Å) after each atom.
Fractional positions:
Zr1 0.9635 0.2233 0.5000  5 Mg 3.09-3.28, 7 Zr 3.14-3.24
Zr2 0.7291 0.4248 0.0000  5 Mg 3.09-3.28, 7 Zr 3.14-3.24
Zr3 0.9963 0.9889 0.0000  5 Mg 3.09-3.28, 7 Zr 3.14-3.24
Zr4 0.5603 0.1577 0.0000  5 Mg 3.09-3.28, 7 Zr 3.14-3.24
Zr5 0.7948 0.9561 0.5000  5 Mg 3.09-3.28, 7 Zr 3.14-3.24
Zr6 0.0952 0.5238 0.5000  9 Mg 3.15-3.16, 3 Zr 3.23-3.24
Zr7 0.5275 0.3920 0.5000  5 Mg 3.09-3.28, 7 Zr 3.14-3.23
Zr8 0.4286 0.8571 0.0000  9 Mg 3.15-3.16, 3 Zr 3.24
Mg1 0.8530 0.7162 0.0000  8 Zr 3.09-3.28, 4 Mg 3.11-3.24
Mg2 0.2877 0.5736 0.0000  8 Zr 3.09-3.28, 4 Mg 3.11-3.24
Mg3 0.6709 0.6646 0.5000  8 Zr 3.09-3.28, 4 Mg 3.11-3.24
Mg4 0.1450 0.2816 0.0000  8 Zr 3.09-3.28, 4 Mg 3.11-3.24
Mg5 0.3787 0.0994 0.5000  8 Zr 3.09-3.28, 4 Mg 3.11-3.24
Mg6 0.2361 0.8073 0.5000  8 Zr 3.09-3.28, 4 Mg 3.11-3.24

Output
Symmetry: No. 176

<ii>
# Mg3Zr4

Mg3Zr4 after structural relaxation (PBE, the Open Quantum Materials Database).

Lattice parameters (Å, degrees): 8.5338 8.5358 5.0221 90.00 90.00 60.01
With the nearest neighbours (Å) after each atom.
Fractional positions:
Mg1 0.2395 0.8086 0.5000  6 Zr 3.12-3.27, 6 Mg 3.12-3.21
Mg2 0.5233 0.3823 0.5000  6 Zr 3.12-3.27, 6 Mg 3.12-3.21
Mg3 0.2866 0.5719 0.0000  6 Zr 3.12-3.27, 6 Mg 3.12-3.21
Mg4 0.4291 0.8558 0.0000  6 Zr 3.12-3.27, 6 Mg 3.12-3.21
Mg5 0.6657 0.6661 0.5000  6 Zr 3.12-3.27, 6 Mg 3.12-3.21
Mg6 0.7129 0.4294 0.0000  6 Zr 3.12-3.27, 6 Mg 3.12-3.21
Zr1 0.3772 0.0935 0.5000  7 Zr 3.12-3.26, 5 Mg 3.12-3.27
Zr2 0.1429 0.2857 0.0000  9 Zr 3.12-3.26, 3 Mg 3.24
Zr3 0.8095 0.9524 0.5000  9 Zr 3.12-3.26, 3 Mg 3.24
Zr4 0.0017 0.9945 0.0000  7 Zr 3.12-3.26, 5 Mg 3.12-3.27
Zr5 0.1007 0.5200 0.5000  7 Zr 3.12-3.26, 5 Mg 3.12-3.27
Zr6 0.8516 0.7181 0.0000  7 Zr 3.12-3.26, 5 Mg 3.12-3.27
Zr7 0.9507 0.2435 0.5000  7 Zr 3.12-3.26, 5 Mg 3.12-3.27
Zr8 0.5752 0.1446 0.0000  7 Zr 3.12-3.26, 5 Mg 3.12-3.27

Output
Symmetry: No. 176

Relative energies in meV per atom: <i> 72; <ii> 0

<i>
# Mo2N

Mo2N after structural relaxation (PBE, the Open Quantum Materials Database).

Lattice parameters (Å, degrees): 6.2337 6.2337 6.2337 60.00 60.00 60.00
With the nearest neighbours (Å) after each atom.
Fractional positions:
Mo1 0.3750 0.3750 0.3750  2 N 1.91
Mo2 0.3750 0.3750 0.8750  2 N 1.91
Mo3 0.8750 0.3750 0.3750  2 N 1.91
Mo4 0.3750 0.8750 0.3750  2 N 1.91
N1 0.2500 0.2500 0.2500  4 Mo 1.91
N2 0.5000 0.5000 0.5000  4 Mo 1.91

Output
Symmetry: No. 227

<ii>
# Mo2N

Mo2N after structural relaxation (PBE, the Open Quantum Materials Database).

Lattice parameters (Å, degrees): 5.8132 8.4176 5.9520 90.00 90.00 90.00
With the nearest neighbours (Å) after each atom.
Fractional positions:
Mo1 0.7803 0.0000 0.2535  4 N 2.13-2.20
Mo2 0.2197 0.0000 0.2535  4 N 2.13-2.20
Mo3 0.0000 0.7572 0.5263  3 N 2.17-2.18
Mo4 0.0000 0.2428 0.5263  3 N 2.17-2.18
Mo5 0.5000 0.7491 0.5324  4 N 2.11-2.22
Mo6 0.5000 0.2562 0.9840  3 N 2.16-2.17
Mo7 0.0000 0.7510 0.9873  2 N 2.14
Mo8 0.2483 0.0000 0.7494  2 N 2.10-2.11
Mo9 0.5000 0.2509 0.5324  4 N 2.11-2.22
Mo10 0.7484 0.5000 0.2100  4 N 2.10-2.24
Mo11 0.7503 0.5000 0.7559  2 N 2.12-2.13
Mo12 0.0000 0.2490 0.9873  2 N 2.14
Mo13 0.5000 0.7438 0.9840  3 N 2.16-2.17
Mo14 0.7517 0.0000 0.7494  2 N 2.10-2.11
Mo15 0.2497 0.5000 0.7559  2 N 2.12-2.13
Mo16 0.2516 0.5000 0.2100  4 N 2.10-2.24
N1 0.5000 0.0000 0.0049  6 Mo 2.11-2.20
N2 0.2475 0.2518 0.2523  6 Mo 2.10-2.22
N3 0.5000 0.0000 0.4973  6 Mo 2.10-2.18
N4 0.7525 0.7482 0.2523  6 Mo 2.10-2.22
N5 0.7525 0.2518 0.2523  6 Mo 2.10-2.22
N6 0.0000 0.5000 0.4937  6 Mo 2.13-2.23
N7 0.2475 0.7482 0.2523  6 Mo 2.10-2.22
N8 0.5000 0.5000 0.4973  6 Mo 2.11-2.24

Output
Symmetry: No. 25

Relative energies in meV per atom: <i> 2044; <ii> 0